Here is an optimized crystal structure of RbZr2Hg from Alexandria via LeMat-Bulk. Energies are from PBE.

Calculated values
**M_tot**: 0.00 μB per atom
**DOS at the Fermi energy**: 14.44 states/eV/cell
**ΔH_f (0 K)**: 3.37 eV/f.u.
**Uncorrected energy**: -3.750 eV per atom

Cell: 4.638 4.638 23.114 Å, 90.00 90.00 90.00°
Space group I-42d (No. 122)
Symmetry-distinct sites (fractional):
Rb 0.000 0.000 0.000
Zr 0.138 0.250 0.625
Hg 0.000 0.000 0.500

Here is an optimized crystal structure of LiMg2Os from Alexandria via LeMat-Bulk. Energies are from PBE.

Calculated values
**M_tot**: 0.00 μB per atom
**DOS at the Fermi energy**: 3.56 states/eV/cell
**ΔH_f (0 K)**: 1.15 eV/f.u.
**Uncorrected energy**: -3.797 eV per atom

Cell: 2.779 2.779 8.975 Å, 90.00 90.00 90.00°
Space group P4mm (No. 99)
Symmetry-distinct sites (fractional):
Li 0.000 0.000 0.000
Mg 0.000 0.000 0.563
Mg 0.500 0.500 0.273
Os 0.500 0.500 0.784

Here is an optimized crystal structure of BaTeO2 from Alexandria via LeMat-Bulk. Energies are from PBE.

Calculated values
**M_tot**: 0.00 μB per atom
**DOS at the Fermi energy**: 4.71 states/eV/cell
**E above lowest polymorph**: 0.0 meV per atom
**Uncorrected energy**: -5.293 eV per atom
**Raw formation energy**: -1548 meV/atom

Cell: 3.9421 3.9421 20.6534 Å, 90.00 90.00 120.00°
Space group R-3m (No. 166, hexagonal axes)
Symmetry-distinct sites (fractional):
Ba 0.0000 0.0000 0.0000
Te 0.0000 0.0000 0.5000
O 0.0000 0.0000 0.4004

Here is an optimized crystal structure of MgCoSe from Alexandria via LeMat-Bulk. Energies are from PBE.

Calculated values
**M_tot**: 0.14 μB per atom
**DOS at the Fermi energy**: 14.78 states/eV/cell
**E above lowest polymorph**: 132.4 meV per atom
**Uncorrected energy**: -4.248 eV per atom
**Raw formation energy**: -186 meV/atom

Cell: 5.803 5.803 5.803 Å, 90.00 90.00 90.00°
Space group F-43m (No. 216)
Symmetry-distinct sites (fractional):
Mg 0.000 0.000 0.000
Co 0.250 0.250 0.750
Se 0.000 0.000 0.500

Here is an optimized crystal structure of Sm2TmScP4 from Alexandria via LeMat-Bulk. Energies are from PBE.

Calculated values
**M_tot**: 0.00 μB per atom
**DOS at the Fermi energy**: 0.84 states/eV/cell
**ΔH_f (0 K)**: -12.28 eV/f.u.
**Uncorrected energy**: -6.770 eV per atom

Cell: 6.889 3.990 6.903 Å, 90.00 109.52 90.00°
Space group P2/m (No. 10)
Symmetry-distinct sites (fractional):
Sm 0.000 0.000 0.000
Sm 0.000 0.500 0.500
Tm 0.500 0.000 0.500
Sc 0.500 0.500 0.000
P 0.264 0.500 0.250
P 0.267 0.000 0.761

Here is an optimized crystal structure of BeOs2Ru from Alexandria via LeMat-Bulk. Energies are from PBE.

Calculated values
**M_tot**: 0.00 μB per atom
**DOS at the Fermi energy**: 2.52 states/eV/cell
**ΔH_f (0 K)**: -0.05 eV/f.u.
**Uncorrected energy**: -8.877 eV per atom

Cell: 2.777 2.777 6.506 Å, 90.00 90.00 90.00°
Space group P4/mmm (No. 123)
Symmetry-distinct sites (fractional):
Be 0.000 0.000 0.000
Os 0.500 0.500 0.214
Ru 0.000 0.000 0.500

Here is an optimized crystal structure of CaPaMnS4 from Alexandria via LeMat-Bulk. Energies are from PBE.

Calculated values
**M_tot**: 0.01 μB per atom
**DOS at the Fermi energy**: 15.42 states/eV/cell
**Uncorrected energy**: -6.532 eV per atom
**Raw formation energy**: -1221 meV/atom

Cell: 8.261 8.434 8.431 Å, 90.00 90.00 90.00°
Space group Imma (No. 74)
Symmetry-distinct sites (fractional):
Ca 0.000 0.250 0.099
Pa 0.000 0.000 0.500
Mn 0.250 0.250 0.750
S 0.000 0.075 0.801
S 0.196 0.250 0.474

Here is an optimized crystal structure of BaSnC3 from Alexandria via LeMat-Bulk. Energies are from PBE.

Calculated values
**M_tot**: 0.00 μB per atom
**DOS at the Fermi energy**: 3.58 states/eV/cell
**ΔH_f (0 K)**: 9.98 eV/f.u.
**E above lowest polymorph**: 0.0 meV per atom
**Uncorrected energy**: -4.723 eV per atom

Cell: 4.467 4.467 4.467 Å, 90.00 90.00 90.00°
Space group Pm-3m (No. 221)
Symmetry-distinct sites (fractional):
Ba 0.000 0.000 0.000
Sn 0.500 0.500 0.500
C 0.000 0.500 0.500

Here is an optimized crystal structure of InTc2B from Alexandria via LeMat-Bulk. Energies are from PBE.

Calculated values
**M_tot**: 0.00 μB per atom
**DOS at the Fermi energy**: 19.54 states/eV/cell
**ΔH_f (0 K)**: 3.35 eV/f.u.
**E above lowest polymorph**: 36.0 meV per atom
**Uncorrected energy**: -6.700 eV per atom

Cell: 6.084 6.084 6.084 Å, 90.00 90.00 90.00°
Space group Fm-3m (No. 225)
Symmetry-distinct sites (fractional):
In 0.000 0.000 0.000
Tc 0.250 0.250 0.250
B 0.000 0.000 0.500

Here is an optimized crystal structure of Sn2PdAu from Alexandria via LeMat-Bulk. Energies are from PBE.

Calculated values
**M_tot**: 0.00 μB per atom
**DOS at the Fermi energy**: 7.95 states/eV/cell
**ΔH_f (0 K)**: -0.34 eV/f.u.
**E above lowest polymorph**: 269.5 meV per atom
**Uncorrected energy**: -4.203 eV per atom

Cell: 7.636 7.636 6.129 Å, 90.00 90.00 90.00°
Space group I-42d (No. 122)
Symmetry-distinct sites (fractional):
Sn 0.238 0.250 0.125
Pd 0.000 0.000 0.000
Au 0.000 0.000 0.500

Here is an optimized crystal structure of Pr12Co5Hg3 from Alexandria via LeMat-Bulk. Energies are from PBE.

Calculated values
**M_tot**: 0.00 μB per atom
**DOS at the Fermi energy**: 146.20 states/eV/cell
**ΔH_f (0 K)**: 1.63 eV/f.u.
**Uncorrected energy**: -4.608 eV per atom

Cell: 17.079 17.079 17.079 Å, 90.00 90.00 90.00°
Space group Ia-3d (No. 230)
Symmetry-distinct sites (fractional):
Pr 0.029 0.057 0.648
Co 0.000 0.000 0.000
Co 0.000 0.250 0.375
Hg 0.000 0.250 0.125

Here is an optimized crystal structure of SmZrGa5Pt2 from Alexandria via LeMat-Bulk. Energies are from PBE.

Calculated values
**M_tot**: 0.00 μB per atom
**DOS at the Fermi energy**: 4.98 states/eV/cell
**ΔH_f (0 K)**: -2.81 eV/f.u.
**Uncorrected energy**: -4.810 eV per atom

Cell: 4.132 4.132 11.694 Å, 90.00 90.00 90.00°
Space group P4/mmm (No. 123)
Symmetry-distinct sites (fractional):
Sm 0.000 0.000 0.000
Zr 0.000 0.000 0.500
Ga 0.000 0.500 0.328
Ga 0.500 0.500 0.000
Pt 0.500 0.500 0.202